Rb2PuCu2S4 | PBE-GGA | optimized geometry

abc: 14.4971 3.9938 7.8216
angles: 90.00 108.98 90.00
Closest atoms and distances in Å follow each position.
Space group C2/m (No. 12)
Asymmetric unit:
1 Rb 0.1366 0.0000 0.0617 x4  7 S 3.34-3.53, 3 Cu 3.68-3.74
2 Pu 0.0000 0.0000 0.5000 x2  6 S 2.72-2.73
3 Cu 0.1797 0.5000 0.4841 x4  4 S 2.33-2.40
4 S 0.0223 0.5000 0.2784 x4  1 Cu 2.33
5 S 0.1970 0.0000 0.6600 x4  3 Cu 2.39-2.40

Calculated values
- Total magnetization: 0.4434 μB per atom
- Formation energy (no corrections): -9.5 eV/f.u.